## Sr2ScO3 (PBE)

Data for a relaxed structure of Sr2ScO3.

POSCAR file:
```
Sr2ScO3
1.0
-2.272 -3.714 2.918
5.973 -1.374 2.903
-1.352 5.751 1.559
Sc Sr O
2 4 6
direct
0.968 0.750 0.000
0.032 0.250 0.000
0.329 0.415 0.662
0.333 0.915 0.662
0.667 0.085 0.338
0.671 0.585 0.338
0.865 0.929 0.721
0.135 0.071 0.279
0.577 0.750 0.000
0.856 0.429 0.721
0.423 0.250 0.000
0.144 0.571 0.279
```

Calculated volume in Å³ per atom: 15.6
DFT total energy in eV per atom: -6.78


## Y2SiIr2 (PBE)

Data for a relaxed structure of Y2SiIr2.

POSCAR file:
```
Y2SiIr2
1.0
-3.301 -5.004 2.634
-1.246 -2.331 -5.990
3.860 -2.464 0.156
Y Ir Si
4 4 2
direct
0.174 0.674 0.500
0.674 0.826 0.500
0.826 0.326 0.500
0.326 0.174 0.500
0.144 0.356 0.000
0.356 0.856 0.000
0.644 0.144 0.000
0.856 0.644 0.000
0.000 0.000 0.000
0.500 0.500 0.000
```

Calculated volume in Å³ per atom: 19.6
DFT total energy in eV per atom: -7.89


no.,spin magnetization (μB per formula unit)
1,0.000
2,0.000